An optimized crystal structure of TiMo2W2. Source: the Alexandria database, functional PBE.

Cell: 7.719 4.463 5.289 Å, 90.00 119.15 90.00°
Space group C2/m (No. 12)
Asymmetric unit:
1 Ti 0.000 0.000 0.000
2 Mo 0.099 0.500 0.795
3 W 0.204 0.000 0.612

Output
**V**: 15.9 Å³/atom
**Excess energy over the best structure of this formula in the dataset**: 0.000 eV per atom
**Formation enthalpy at 0 K**: -0.156 eV per atom
**Energy**: -11.2490 eV per atom
**Calculated density**: 12.68 g/cm³